1.
# LiYMn2, relaxed, DFT PBE-GGA
# Symmetry ... Immm
# Raw total energy ... -6.28 eV/atom
# E_form ... 0.400 eV per atom
# Energy above the most stable polymorph in this dataset ... 0.62 eV/f.u.
data_LiYMn2
_cell_length_a 5.422
_cell_length_b 5.422
_cell_length_c 4.639
_cell_angle_alpha 64.69
_cell_angle_beta 64.69
_cell_angle_gamma 37.09
_symmetry_space_group_name_H-M 'P 1'
_symmetry_Int_Tables_number 1
loop_
_symmetry_equiv_pos_as_xyz
'x,y,z'
loop_
_atom_site_label
_atom_site_fract_x
_atom_site_fract_y
_atom_site_fract_z
Li1 0.750 0.750 0.750
Mn1 0.018 0.018 0.982
Y1 0.250 0.250 0.250
Mn2 0.482 0.482 0.518

---

2.
# BaCa2ZnN, relaxed, DFT PBE-GGA
# Symmetry ... P4/mmm
# Raw total energy ... -3.48 eV/atom
# Raw formation energy ... -379 meV per atom
data_BaCa2ZnN
_cell_length_a 4.842
_cell_length_b 4.842
_cell_length_c 5.846
_cell_angle_alpha 90.00
_cell_angle_beta 90.00
_cell_angle_gamma 90.00
_symmetry_space_group_name_H-M 'P 1'
_symmetry_Int_Tables_number 1
loop_
_symmetry_equiv_pos_as_xyz
'x,y,z'
loop_
_atom_site_label
_atom_site_fract_x
_atom_site_fract_y
_atom_site_fract_z
Ca1 0.500 0.000 0.000
Ba1 0.000 0.000 0.500
N1 0.000 0.000 0.000
Zn1 0.500 0.500 0.500
Ca2 0.000 0.500 0.000

---

Repeat the first record exactly.
# LiYMn2, relaxed, DFT PBE-GGA
# Symmetry ... Immm
# Raw total energy ... -6.28 eV/atom
# E_form ... 0.400 eV per atom
# Energy above the most stable polymorph in this dataset ... 0.62 eV/f.u.
data_LiYMn2
_cell_length_a 5.422
_cell_length_b 5.422
_cell_length_c 4.639
_cell_angle_alpha 64.69
_cell_angle_beta 64.69
_cell_angle_gamma 37.09
_symmetry_space_group_name_H-M 'P 1'
_symmetry_Int_Tables_number 1
loop_
_symmetry_equiv_pos_as_xyz
'x,y,z'
loop_
_atom_site_label
_atom_site_fract_x
_atom_site_fract_y
_atom_site_fract_z
Li1 0.750 0.750 0.750
Mn1 0.018 0.018 0.982
Y1 0.250 0.250 0.250
Mn2 0.482 0.482 0.518